Pm2Pd2Pb | PBE | optimized geometry

abc: 7.9772 7.9772 3.7775
angles: 90.00 90.00 90.00
Fractional coordinates of all 10 atoms:
Pm1 0.1747 0.3253 0.0000
Pm2 0.3253 0.8253 0.0000
Pm3 0.6747 0.1747 0.0000
Pm4 0.8253 0.6747 0.0000
Pd1 0.1239 0.6239 0.5000
Pd2 0.3761 0.1239 0.5000
Pd3 0.6239 0.8761 0.5000
Pd4 0.8761 0.3761 0.5000
Pb1 0.0000 0.0000 0.5000
Pb2 0.5000 0.5000 0.5000

Computed properties:
Symmetry: No. 127
Energy: -5.521 eV/atom

BaNi2 | PBE | optimized geometry

abc: 9.1465 4.1085 7.7047
angles: 90.00 90.00 90.00
Fractional coordinates of all 12 atoms:
Ba1 0.2058 0.2500 0.0460
Ba2 0.2942 0.7500 0.5460
Ba3 0.7058 0.2500 0.4540
Ba4 0.7942 0.7500 0.9540
Ni1 0.0031 0.2500 0.7180
Ni2 0.0299 0.2500 0.4134
Ni3 0.4701 0.7500 0.9134
Ni4 0.4969 0.7500 0.2180
Ni5 0.5031 0.2500 0.7820
Ni6 0.5299 0.2500 0.0866
Ni7 0.9701 0.7500 0.5866
Ni8 0.9969 0.7500 0.2820

Computed properties:
Symmetry: No. 62
Energy: -4.199 eV/atom

FeNiPdPb | PBE | optimized geometry

abc: 6.3218 6.3218 6.3218
angles: 90.00 90.00 90.00
Fractional coordinates of all 16 atoms:
Fe1 0.0000 0.0000 0.0000
Fe2 0.0000 0.5000 0.5000
Fe3 0.5000 0.0000 0.5000
Fe4 0.5000 0.5000 0.0000
Ni1 0.2500 0.2500 0.7500
Ni2 0.2500 0.7500 0.2500
Ni3 0.7500 0.2500 0.2500
Ni4 0.7500 0.7500 0.7500
Pd1 0.2500 0.2500 0.2500
Pd2 0.2500 0.7500 0.7500
Pd3 0.7500 0.2500 0.7500
Pd4 0.7500 0.7500 0.2500
Pb1 0.0000 0.0000 0.5000
Pb2 0.0000 0.5000 0.0000
Pb3 0.5000 0.0000 0.0000
Pb4 0.5000 0.5000 0.5000

Computed properties:
Energy above the most stable polymorph in this dataset: 0 meV per atom
Symmetry: No. 216